CaHfTcB2: relaxed, PBEsol.

Lattice parameters (Å, degrees): 4.284 4.284 4.371 90.00 90.00 90.00
Fractional positions:
Ca  0.000  0.000  0.000
Hf  0.500  0.500  0.500
Tc  0.000  0.000  0.500
B  0.000  0.500  0.000
B  0.500  0.000  0.000

Output
Magnetization (μB per formula unit): 0.0
SG: P4/mmm
Energy of formation from the pure elements (meV per atom): 2243